First-principles (GGA-PBE) data for crystalline Pr3Dy2HoS6 at its relaxed geometry, as listed in the Alexandria database.

## Properties
DFT total energy = -6.4206 eV/atom

abc: 6.8738 6.8738 7.0444
angles: 99.35 99.35 120.16
Last column: nearest neighbours and their distance in Å.
Atoms (fractional coordinates):
Pr  0.1673  0.8327  0.5000  6 S 2.91
Pr  0.8327  0.1673  0.5000  6 S 2.91
Pr  0.5000  0.5000  0.5000  6 S 2.91
Dy  0.3333  0.6667  0.0000  6 S 2.76
Dy  0.6667  0.3333  0.0000  6 S 2.76
Ho  0.0000  0.0000  0.0000  6 S 2.75
S  0.9235  0.5914  0.7700  1 Ho 2.75, 2 Dy 2.76, 3 Pr 2.91
S  0.7447  0.7447  0.2306  1 Ho 2.75, 2 Dy 2.76, 3 Pr 2.91
S  0.0765  0.4086  0.2300  1 Ho 2.75, 2 Dy 2.76, 3 Pr 2.91
S  0.5914  0.9235  0.7700  1 Ho 2.75, 2 Dy 2.76, 3 Pr 2.91
S  0.2553  0.2553  0.7694  1 Ho 2.75, 2 Dy 2.76, 3 Pr 2.91
S  0.4086  0.0765  0.2300  1 Ho 2.75, 2 Dy 2.76, 3 Pr 2.91

=====

First-principles (GGA-PBE) data for crystalline RePd3Rh12 at its relaxed geometry, as listed in the Alexandria database.

## Properties
ΔH_f (0 K) = 25 meV/atom

abc: 3.8628 3.8628 15.4591
angles: 90.00 90.00 90.00
Last column: nearest neighbours and their distance in Å.
Atoms (fractional coordinates):
Re  0.0000  0.0000  0.0000  12 Rh 2.68-2.73
Pd  0.0000  0.0000  0.2511  12 Rh 2.72-2.80
Pd  0.0000  0.0000  0.5000  12 Rh 2.73
Pd  0.0000  0.0000  0.7489  12 Rh 2.72-2.80
Rh  0.5000  0.5000  0.0000  8 Rh 2.68, 4 Re 2.73
Rh  0.5000  0.5000  0.2484  4 Pd 2.73, 8 Rh 2.75-2.77
Rh  0.5000  0.5000  0.5000  8 Rh 2.73, 4 Pd 2.73
Rh  0.5000  0.5000  0.7516  4 Pd 2.73, 8 Rh 2.75-2.77
Rh  0.5000  0.0000  0.1203  2 Re 2.68, 8 Rh 2.68-2.77, 2 Pd 2.80
Rh  0.5000  0.0000  0.3754  4 Pd 2.72-2.73, 8 Rh 2.73-2.75
Rh  0.5000  0.0000  0.6246  4 Pd 2.72-2.73, 8 Rh 2.73-2.75
Rh  0.5000  0.0000  0.8797  2 Re 2.68, 8 Rh 2.68-2.77, 2 Pd 2.80
Rh  0.0000  0.5000  0.1203  2 Re 2.68, 8 Rh 2.68-2.77, 2 Pd 2.80
Rh  0.0000  0.5000  0.3754  4 Pd 2.72-2.73, 8 Rh 2.73-2.75
Rh  0.0000  0.5000  0.6246  4 Pd 2.72-2.73, 8 Rh 2.73-2.75
Rh  0.0000  0.5000  0.8797  2 Re 2.68, 8 Rh 2.68-2.77, 2 Pd 2.80

=====

First-principles (GGA-PBE) data for crystalline CsCa2VBr8 at its relaxed geometry, as listed in the Alexandria database.

## Properties
DFT total energy = -3.7685 eV/atom

abc: 6.8387 6.6229 9.2593
angles: 89.79 89.86 88.34
Last column: nearest neighbours and their distance in Å.
Atoms (fractional coordinates):
Cs  0.0000  0.0000  0.5000  6 Br 3.36-3.42
Ca  0.4999  0.4994  0.7550  6 Br 2.91-3.15
Ca  0.5001  0.5006  0.2450  6 Br 2.91-3.15
V  0.0000  0.0000  0.0000  6 Br 2.54-2.70
Br  0.1569  0.7682  0.1896  1 V 2.55
Br  0.6888  0.7594  0.9996  1 V 2.70
Br  0.8409  0.2297  0.1890  1 V 2.54
Br  0.8431  0.2318  0.8104  1 V 2.55
Br  0.3112  0.2406  0.0004  1 V 2.70
Br  0.1591  0.7703  0.8110  1 V 2.54
Br  0.5881  0.7365  0.4994  2 Ca 2.91
Br  0.4119  0.2635  0.5006  2 Ca 2.91

=====

First-principles (GGA-PBE) data for crystalline K3LaSc at its relaxed geometry, as listed in the Alexandria database.

## Properties
ΔH_f (0 K) = 1175 meV/atom

abc: 6.1807 6.1807 6.1807
angles: 90.00 90.00 90.00
Last column: nearest neighbours and their distance in Å.
Atoms (fractional coordinates):
Sc  0.0000  0.0000  0.0000  6 K 3.09
K  0.0000  0.5000  0.0000  2 Sc 3.09
K  0.0000  0.0000  0.5000  2 Sc 3.09
K  0.5000  0.0000  0.0000  2 Sc 3.09
La  0.5000  0.5000  0.5000  12 K 4.37

=====

First-principles (GGA-PBE) data for crystalline SrSi2Ru at its relaxed geometry, as listed in the Alexandria database.

## Properties
DFT total energy = -5.6149 eV/atom

abc: 3.2217 3.2217 7.1367
angles: 90.00 90.00 90.00
Last column: nearest neighbours and their distance in Å.
Atoms (fractional coordinates):
Ru  0.5000  0.5000  0.8426  5 Si 2.42-2.47
Si  0.0000  0.0000  0.9757  4 Ru 2.47, 4 Si 2.71
Si  0.5000  0.5000  0.1821  1 Ru 2.42, 4 Si 2.71
Sr  0.0000  0.0000  0.4995  5 Si 3.21-3.40, 4 Sr 3.22, 4 Ru 3.34

=====

First-principles (GGA-PBE) data for crystalline TbPm2Ho2Er2 at its relaxed geometry, as listed in the Alexandria database.

## Properties
ΔH_f (0 K) = 86 meV/atom

abc: 3.5082 6.0927 11.7763
angles: 71.60 90.00 106.73
Last column: nearest neighbours and their distance in Å.
Atoms (fractional coordinates):
Tb  0.0000  0.0000  0.5000  4 Ho 3.50, 2 Tb 3.51, 6 Er 3.51-3.54
Pm  0.6707  0.3415  0.9158  4 Ho 3.50-3.59, 5 Pm 3.51-3.82, 2 Er 3.59
Pm  0.3293  0.6585  0.0842  4 Ho 3.50-3.59, 5 Pm 3.51-3.82, 2 Er 3.59
Ho  0.4493  0.8986  0.7696  3 Er 3.46-3.55, 4 Pm 3.50-3.59, 2 Tb 3.50, 2 Ho 3.51
Ho  0.5507  0.1014  0.2304  3 Er 3.46-3.55, 4 Pm 3.50-3.59, 2 Tb 3.50, 2 Ho 3.51
Er  0.7743  0.5486  0.3634  3 Ho 3.46-3.55, 4 Er 3.51-3.54, 3 Tb 3.51-3.54, 2 Pm 3.59
Er  0.2257  0.4514  0.6366  3 Ho 3.46-3.55, 4 Er 3.51-3.54, 3 Tb 3.51-3.54, 2 Pm 3.59

=====

First-principles (GGA-PBE) data for crystalline Pr4Al3Zn at its relaxed geometry, as listed in the Alexandria database.

## Properties
ΔH_f (0 K) = -311 meV/atom

abc: 3.8290 4.5695 12.3124
angles: 90.00 90.00 90.00
Last column: nearest neighbours and their distance in Å.
Atoms (fractional coordinates):
Pr  0.5000  0.5000  0.3444  6 Al 3.19-3.29, 1 Zn 3.47
Pr  0.0000  0.5000  0.8487  5 Al 3.18-3.53, 2 Zn 3.26
Pr  0.0000  0.0000  0.1528  4 Zn 3.18, 3 Al 3.25-3.50
Pr  0.5000  0.0000  0.6531  7 Al 3.18-3.52
Al  0.0000  0.5000  0.5622  2 Al 2.76
Al  0.0000  0.0000  0.4369  2 Al 2.76
Al  0.5000  0.0000  0.9392  2 Zn 2.74
Zn  0.5000  0.5000  0.0627  2 Al 2.74

=====

First-principles (GGA-PBE) data for crystalline Tm2Ga4Cu3Ni at its relaxed geometry, as listed in the Alexandria database.

## Properties
ΔH_f (0 K) = -442 meV/atom

abc: 4.0545 4.0545 10.1336
angles: 90.00 90.00 90.00
Last column: nearest neighbours and their distance in Å.
Atoms (fractional coordinates):
Tm  0.5000  0.0000  0.2565  8 Ga 3.10-3.30, 6 Cu 3.10-3.19, 2 Ni 3.19
Tm  0.0000  0.5000  0.7435  8 Ga 3.10-3.30, 6 Cu 3.10-3.19, 2 Ni 3.19
Ga  0.5000  0.5000  0.0000  4 Cu 2.47
Ga  0.0000  0.0000  0.0000  4 Cu 2.47
Ga  0.5000  0.0000  0.6271  3 Cu 2.37-2.40, 2 Ni 2.40
Ga  0.0000  0.5000  0.3729  3 Cu 2.37-2.40, 2 Ni 2.40
Cu  0.0000  0.0000  0.5000  4 Ga 2.40
Cu  0.5000  0.0000  0.8608  5 Ga 2.37-2.47
Cu  0.0000  0.5000  0.1392  5 Ga 2.37-2.47
Ni  0.5000  0.5000  0.5000  4 Ga 2.40

=====

Computed values of density (unit: kg/m³) for the preceding records, in sequence: 6744; 12528; 3578; 2118; 5489; 8123; 5473; 8633.
Computed values of V (unit: Å³/cell) for the preceding records, in sequence: 272.1; 230.7; 419.2; 236.1; 74.1; 227.6; 215.4; 166.6.